No. 1
Entry from the Alexandria database: a geometry-optimized K5TlPt4 structure (PBE).

Computed properties:
D(E_F): 0.5417 states/eV/atom
symmetry: C2/m (12)
total DFT energy (no corrections): -3.252 eV/atom
volume: 374.0 Å³ per cell

Cell: 10.158 10.158 8.690 Å, 112.93 112.93 27.08°
Fractional coordinates of all 10 atoms:
K1 0.000 0.000 0.000
K2 0.293 0.293 0.889
K3 0.366 0.366 0.495
K4 0.634 0.634 0.505
K5 0.707 0.707 0.111
Tl1 0.000 0.000 0.500
Pt1 0.112 0.112 0.813
Pt2 0.437 0.437 0.237
Pt3 0.563 0.563 0.763
Pt4 0.888 0.888 0.187

***

No. 2
Entry from the Alexandria database: a geometry-optimized Sr3AlIn3 structure (PBE).

Computed properties:
D(E_F): 0.7346 states/eV/atom
symmetry: C2/m (12)
total DFT energy (no corrections): -2.817 eV/atom
volume: 458.0 Å³ per cell

Cell: 6.579 6.579 16.581 Å, 108.59 108.59 42.79°
Fractional coordinates of all 14 atoms:
Sr1 0.030 0.030 0.386
Sr2 0.105 0.105 0.920
Sr3 0.247 0.247 0.233
Sr4 0.753 0.753 0.767
Sr5 0.895 0.895 0.080
Sr6 0.970 0.970 0.614
Al1 0.264 0.264 0.607
Al2 0.736 0.736 0.393
In1 0.357 0.357 0.462
In2 0.389 0.389 0.923
In3 0.462 0.462 0.763
In4 0.538 0.538 0.237
In5 0.611 0.611 0.077
In6 0.643 0.643 0.538

***

No. 3
Entry from the Alexandria database: a geometry-optimized PmPr6Mg2 structure (PBE).

Computed properties:
D(E_F): 2.0446 states/eV/atom
symmetry: P4_2/mnm (136)
energy above the most stable polymorph in this dataset: 464 meV/atom
volume: 697.8 Å³ per cell

Cell: 8.328 8.328 10.062 Å, 90.00 90.00 90.00°
Fractional coordinates of all 18 atoms:
Pm1 0.000 0.000 0.000
Pm2 0.500 0.500 0.500
Pr1 0.239 0.239 0.174
Pr2 0.239 0.239 0.826
Pr3 0.242 0.242 0.500
Pr4 0.258 0.742 0.000
Pr5 0.261 0.739 0.326
Pr6 0.261 0.739 0.674
Pr7 0.739 0.261 0.326
Pr8 0.739 0.261 0.674
Pr9 0.742 0.258 0.000
Pr10 0.758 0.758 0.500
Pr11 0.761 0.761 0.174
Pr12 0.761 0.761 0.826
Mg1 0.000 0.000 0.347
Mg2 0.000 0.000 0.653
Mg3 0.500 0.500 0.153
Mg4 0.500 0.500 0.847

***

No. 4
Entry from the Alexandria database: a geometry-optimized CaPrSmHo structure (PBE).

Computed properties:
D(E_F): 1.6646 states/eV/atom
symmetry: F-43m (216)
energy above the most stable polymorph in this dataset: 75 meV/atom
volume: 140.6 Å³ per cell

Cell: 5.837 5.837 5.837 Å, 60.00 60.00 60.00°
Fractional coordinates of all 4 atoms:
Ca1 0.000 0.000 0.000
Pr1 0.750 0.750 0.750
Sm1 0.250 0.250 0.250
Ho1 0.500 0.500 0.500

***

No. 5
Entry from the Alexandria database: a geometry-optimized BaHg4Rh structure (PBE).

Computed properties:
D(E_F): 0.4034 states/eV/atom
symmetry: Pmma (51)
energy above the most stable polymorph in this dataset: 0 meV/atom
volume: 312.2 Å³ per cell

Cell: 8.836 4.482 7.884 Å, 90.00 90.00 90.00°
Fractional coordinates of all 12 atoms:
Ba1 0.250 0.000 0.102
Ba2 0.750 0.000 0.898
Hg1 0.000 0.000 0.500
Hg2 0.066 0.500 0.809
Hg3 0.250 0.500 0.447
Hg4 0.434 0.500 0.809
Hg5 0.500 0.000 0.500
Hg6 0.566 0.500 0.191
Hg7 0.750 0.500 0.553
Hg8 0.934 0.500 0.191
Rh1 0.250 0.000 0.701
Rh2 0.750 0.000 0.299

***

No. 6
Entry from the Alexandria database: a geometry-optimized ZnHgMo structure (PBE).

Computed properties:
D(E_F): 0.5646 states/eV/atom
symmetry: F-43m (216)
energy above the most stable polymorph in this dataset: 434 meV/atom
volume: 57.9 Å³ per cell

Cell: 4.342 4.342 4.342 Å, 60.00 60.00 60.00°
Fractional coordinates of all 3 atoms:
Zn1 0.000 0.000 0.000
Hg1 0.250 0.250 0.250
Mo1 0.750 0.750 0.750

***

No. 7
Entry from the Alexandria database: a geometry-optimized Ce2TiGa3Pt4 structure (PBE).

Computed properties:
D(E_F): 1.2893 states/eV/atom
symmetry: P-4m2 (115)
total DFT energy (no corrections): -6.222 eV/atom
volume: 192.0 Å³ per cell

Cell: 4.156 4.156 11.120 Å, 90.00 90.00 90.00°
Fractional coordinates of all 10 atoms:
Ce1 0.000 0.500 0.248
Ce2 0.500 0.000 0.752
Ti1 0.000 0.000 0.500
Ga1 0.000 0.500 0.867
Ga2 0.500 0.000 0.133
Ga3 0.500 0.500 0.500
Pt1 0.000 0.000 0.000
Pt2 0.000 0.500 0.642
Pt3 0.500 0.000 0.358
Pt4 0.500 0.500 0.000

***

No. 8
Entry from the Alexandria database: a geometry-optimized Hf3InPd structure (PBE).

Computed properties:
D(E_F): 0.8592 states/eV/atom
symmetry: Pm-3m (221)
energy above the most stable polymorph in this dataset: 0 meV/atom
volume: 126.1 Å³ per cell

Cell: 5.014 5.014 5.014 Å, 90.00 90.00 90.00°
Fractional coordinates of all 5 atoms:
Hf1 0.000 0.000 0.500
Hf2 0.000 0.500 0.000
Hf3 0.500 0.000 0.000
In1 0.500 0.500 0.500
Pd1 0.000 0.000 0.000

***

No. 9
Entry from the Alexandria database: a geometry-optimized ZnH2I2 structure (PBE).

Computed properties:
D(E_F): 0.0000 states/eV/atom
symmetry: C2/m (12)
total DFT energy (no corrections): -2.505 eV/atom
volume: 137.9 Å³ per cell

Cell: 4.080 4.080 9.574 Å, 92.87 92.87 60.05°
Fractional coordinates of all 5 atoms:
Zn1 0.000 0.000 0.000
H1 0.038 0.038 0.529
H2 0.962 0.962 0.471
I1 0.320 0.320 0.829
I2 0.680 0.680 0.171

***

No. 10
Entry from the Alexandria database: a geometry-optimized RbCu4Br7 structure (PBE).

Computed properties:
D(E_F): 1.2875 states/eV/atom
symmetry: Pmn2_1 (31)
E_form (uncorrected): -0.5655 eV/atom
volume: 711.3 Å³ per cell

Cell: 16.089 6.715 6.584 Å, 90.00 90.00 90.00°
Fractional coordinates of all 24 atoms:
Rb1 0.000 0.178 0.000
Rb2 0.500 0.822 0.500
Cu1 0.121 0.670 0.622
Cu2 0.250 0.176 0.611
Cu3 0.250 0.824 0.111
Cu4 0.379 0.330 0.122
Cu5 0.621 0.330 0.122
Cu6 0.750 0.176 0.611
Cu7 0.750 0.824 0.111
Cu8 0.879 0.670 0.622
Br1 0.000 0.841 0.495
Br2 0.120 0.326 0.520
Br3 0.120 0.697 0.990
Br4 0.246 0.831 0.484
Br5 0.254 0.169 0.984
Br6 0.380 0.303 0.490
Br7 0.380 0.674 0.020
Br8 0.500 0.159 0.995
Br9 0.620 0.303 0.490
Br10 0.620 0.674 0.020
Br11 0.746 0.169 0.984
Br12 0.754 0.831 0.484
Br13 0.880 0.326 0.520
Br14 0.880 0.697 0.990